# PBE MnTc2Os, relaxed
data_MnTc2Os
_chemical_formula_sum 'Mn3 Tc6 Os3'
_symmetry_space_group_name_H-M 'R -3 m'
_symmetry_Int_Tables_number 166
_symmetry_space_group_name_Hall '-R 3 2"'
_cell_length_a 2.6920
_cell_length_b 2.6920
_cell_length_c 26.2331
_cell_angle_alpha 90.00
_cell_angle_beta 90.00
_cell_angle_gamma 120.00
loop_
_atom_site_label
_atom_site_type_symbol
_atom_site_fract_x
_atom_site_fract_y
_atom_site_fract_z
_atom_site_occupancy
Mn1 Mn 0.0000 0.0000 0.0000 1
Tc1 Tc 0.0000 0.0000 0.2537 1
Os1 Os 0.0000 0.0000 0.5000 1
# - polymorph energy (0 for the lowest one) (meV per atom) = 71
# - energy of formation from the pure elements (eV/atom) = 0.1281
# - crystal system = trigonal
# - V (Å³/atom) = 13.7